No. 1
An optimized crystal structure of Rb2Ta2Pt3. Source: OQMD, functional GGA-PBE.

Computed properties:
Calculated volume   183.9 Å³ per cell
E_tot   -6.30 eV per atom
Space group   R3m (160)

The structure in extended XYZ format:
```
7
Lattice="-8.140 4.947 4.947 -4.947 4.947 8.140 -4.947 8.140 4.947" Properties=species:S:1:pos:R:3 pbc="T T T"
Rb -2.898 2.898 2.898
Rb -13.584 13.584 13.584
Ta -10.411 10.411 10.411
Ta -17.682 17.682 17.682
Pt -11.817 11.817 11.817
Pt -16.187 16.187 16.187
Pt -6.317 6.317 6.317
```



No. 2
An optimized crystal structure of PmHfPO. Source: OQMD, functional GGA-PBE.

Computed properties:
Calculated volume   139.1 Å³ per cell
E_tot   -7.68 eV per atom
Space group   P4/nmm (129)
Energy relative to the lowest polymorph listed for this composition   0.559 eV/atom

The structure in extended XYZ format:
```
8
Lattice="2.916 -2.916 0.000 2.916 2.916 0.000 0.000 0.000 8.180" Properties=species:S:1:pos:R:3 pbc="T T T"
P 1.458 0.000 6.105
P 4.374 0.000 2.075
O 2.916 1.458 0.000
O 2.916 -1.458 0.000
Hf 4.374 0.000 7.375
Hf 1.458 0.000 0.805
Pm 2.916 -1.458 4.090
Pm 2.916 1.458 4.090
```



Question: calculated volume of number 2 (PmHfPO)?
Answer: 139.1 Å³ per cell